A plane-wave DFT calculation with GGA-PBEsol was carried out for a relaxed NaPBr2 crystal.

Cell: 8.952 8.952 8.952 Å, 144.89 144.89 50.49°
Element x y z (fractional)
Na1 0.000 0.000 0.000
Na2 0.750 0.250 0.500
P1 0.250 0.750 0.500
P2 0.500 0.500 0.000
Br1 0.181 0.625 0.056
Br2 0.375 0.431 0.556
Br3 0.569 0.125 0.944
Br4 0.875 0.819 0.444

Summary:
Formation energy (no corrections): -0.832 eV/f.u.
N(E_F): 0.10 states/eV per cell
Volume: 236.1 Å³ per cell